[1]
Computed, not measured: crystalline CsNbTl3 at its relaxed geometry at the GGA-PBE level of DFT.

Values from the calculation:
The space group is Pm-3m, No. 221. The formation energy from the elements comes out at 0.27 eV/atom. Its final energy is -3.338 eV/atom.

abc: 5.6487 5.6487 5.6487
angles: 90.00 90.00 90.00
Fractional coordinates of all 5 atoms:
Cs (0.5000, 0.5000, 0.5000)
Tl (0.0000, 0.5000, 0.0000)
Tl (0.5000, 0.0000, 0.0000)
Tl (0.0000, 0.0000, 0.5000)
Nb (0.0000, 0.0000, 0.0000)

---

[2]
Computed, not measured: crystalline Cs3NbTl at its relaxed geometry at the GGA-PBE level of DFT.

Values from the calculation:
The space group is Pm-3m, No. 221. The formation energy from the elements comes out at 1.19 eV/atom. Its final energy is -1.810 eV/atom.

abc: 7.2234 7.2234 7.2234
angles: 90.00 90.00 90.00
Fractional coordinates of all 5 atoms:
Cs (0.5000, 0.0000, 0.0000)
Cs (0.0000, 0.0000, 0.5000)
Cs (0.0000, 0.5000, 0.0000)
Tl (0.0000, 0.0000, 0.0000)
Nb (0.5000, 0.5000, 0.5000)

---

[3]
Computed, not measured: crystalline CsNbTl3 at its relaxed geometry at the GGA-PBE level of DFT.

Values from the calculation:
The space group is Pm-3m, No. 221. The formation energy from the elements comes out at 1.72 eV/atom. Its final energy is -1.880 eV/atom.

abc: 6.3297 6.3297 6.3297
angles: 90.00 90.00 90.00
Fractional coordinates of all 5 atoms:
Tl (0.5000, 0.0000, 0.0000)
Tl (0.0000, 0.5000, 0.0000)
Tl (0.0000, 0.0000, 0.5000)
Nb (0.5000, 0.5000, 0.5000)
Cs (0.0000, 0.0000, 0.0000)

---

[4]
Computed, not measured: crystalline Cs2NbV at its relaxed geometry at the GGA-PBE level of DFT.

Values from the calculation:
The space group is I-42d, No. 122. The formation energy from the elements comes out at 3.09 eV/atom. Its final energy is -2.131 eV/atom.

abc: 6.1991 6.1991 7.5996
angles: 65.93 65.93 90.00
Fractional coordinates of all 8 atoms:
Nb (0.7500, 0.2500, 0.5000)
Nb (0.0000, 0.0000, 0.0000)
V (0.2500, 0.7500, 0.5000)
V (0.5000, 0.5000, 0.0000)
Cs (0.1438, 0.6250, 0.2500)
Cs (0.6062, 0.1250, 0.2500)
Cs (0.8750, 0.8562, 0.7500)
Cs (0.3750, 0.3938, 0.7500)

---

[5]
Computed, not measured: crystalline CsNb3V at its relaxed geometry at the GGA-PBE level of DFT.

Values from the calculation:
The space group is Pm-3m, No. 221. The formation energy from the elements comes out at 1.54 eV/atom. Its final energy is -6.494 eV/atom.

abc: 4.9260 4.9260 4.9260
angles: 90.00 90.00 90.00
Fractional coordinates of all 5 atoms:
Nb (0.5000, 0.0000, 0.0000)
Nb (0.0000, 0.5000, 0.0000)
Nb (0.0000, 0.0000, 0.5000)
V (0.0000, 0.0000, 0.0000)
Cs (0.5000, 0.5000, 0.5000)

---

[6]
Computed, not measured: crystalline CsNbV2 at its relaxed geometry at the GGA-PBE level of DFT.

Values from the calculation:
The space group is Fm-3m, No. 225. The formation energy from the elements comes out at 1.67 eV/atom. Its final energy is -5.624 eV/atom.

abc: 4.8558 4.8558 4.8558
angles: 60.00 60.00 60.00
Fractional coordinates of all 4 atoms:
V (0.2500, 0.2500, 0.2500)
V (0.7500, 0.7500, 0.7500)
Nb (0.0000, 0.0000, 0.0000)
Cs (0.5000, 0.5000, 0.5000)

---

[7]
Computed, not measured: crystalline CsNb3V at its relaxed geometry at the GGA-PBE level of DFT.

Values from the calculation:
The space group is Pm-3m, No. 221. The formation energy from the elements comes out at 2.83 eV/atom. Its final energy is -5.204 eV/atom.

abc: 5.0083 5.0083 5.0083
angles: 90.00 90.00 90.00
Fractional coordinates of all 5 atoms:
Nb (0.0000, 0.5000, 0.0000)
Nb (0.0000, 0.0000, 0.5000)
Nb (0.5000, 0.0000, 0.0000)
V (0.5000, 0.5000, 0.5000)
Cs (0.0000, 0.0000, 0.0000)

---

[8]
Computed, not measured: crystalline CsNb2W at its relaxed geometry at the GGA-PBE level of DFT.

Values from the calculation:
The space group is I-42d, No. 122. The formation energy from the elements comes out at 1.98 eV/atom. Its final energy is -6.503 eV/atom.

abc: 5.4457 5.4457 9.3123
angles: 73.00 73.00 90.00
Fractional coordinates of all 8 atoms:
W (0.0000, 0.0000, 0.0000)
W (0.7500, 0.2500, 0.5000)
Cs (0.2500, 0.7500, 0.5000)
Cs (0.5000, 0.5000, 0.0000)
Nb (0.8029, 0.6250, 0.2500)
Nb (0.8750, 0.1971, 0.7500)
Nb (0.9471, 0.1250, 0.2500)
Nb (0.3750, 0.0529, 0.7500)

---

[9]
Computed, not measured: crystalline CsNbW2 at its relaxed geometry at the GGA-PBE level of DFT.

Values from the calculation:
The space group is I-42d, No. 122. The formation energy from the elements comes out at 2.21 eV/atom. Its final energy is -6.994 eV/atom.

abc: 5.0763 5.0763 9.7619
angles: 74.93 74.93 90.00
Fractional coordinates of all 8 atoms:
W (0.4360, 0.1250, 0.2500)
W (0.3750, 0.5640, 0.7500)
W (0.8750, 0.6860, 0.7500)
W (0.3140, 0.6250, 0.2500)
Nb (0.5000, 0.5000, 0.0000)
Nb (0.2500, 0.7500, 0.5000)
Cs (0.7500, 0.2500, 0.5000)
Cs (0.0000, 0.0000, 0.0000)

---

[10]
Computed, not measured: crystalline CsNb2W at its relaxed geometry at the GGA-PBE level of DFT.

Values from the calculation:
The space group is Fm-3m, No. 225. The formation energy from the elements comes out at 1.69 eV/atom. Its final energy is -6.794 eV/atom.

abc: 4.8752 4.8752 4.8752
angles: 60.00 60.00 60.00
Fractional coordinates of all 4 atoms:
Nb (0.2500, 0.2500, 0.2500)
Nb (0.7500, 0.7500, 0.7500)
Cs (0.0000, 0.0000, 0.0000)
W (0.5000, 0.5000, 0.5000)

---

[11]
Computed, not measured: crystalline CsNbW2 at its relaxed geometry at the GGA-PBE level of DFT.

Values from the calculation:
The space group is Fm-3m, No. 225. The formation energy from the elements comes out at 2.06 eV/atom. Its final energy is -7.150 eV/atom.

abc: 4.8271 4.8271 4.8271
angles: 60.00 60.00 60.00
Fractional coordinates of all 4 atoms:
Nb (0.0000, 0.0000, 0.0000)
W (0.7500, 0.7500, 0.7500)
W (0.2500, 0.2500, 0.2500)
Cs (0.5000, 0.5000, 0.5000)

---

[12]
Computed, not measured: crystalline Cs2NbW at its relaxed geometry at the GGA-PBE level of DFT.

Values from the calculation:
The space group is Fm-3m, No. 225. The formation energy from the elements comes out at 2.91 eV/atom. Its final energy is -3.274 eV/atom.

abc: 5.2449 5.2449 5.2449
angles: 60.00 60.00 60.00
Fractional coordinates of all 4 atoms:
Cs (0.2500, 0.2500, 0.2500)
Cs (0.7500, 0.7500, 0.7500)
Nb (0.0000, 0.0000, 0.0000)
W (0.5000, 0.5000, 0.5000)

---

[13]
Computed, not measured: crystalline Cs2YNb at its relaxed geometry at the GGA-PBE level of DFT.

Values from the calculation:
The space group is Fm-3m, No. 225. The formation energy from the elements comes out at 1.67 eV/atom. Its final energy is -2.892 eV/atom.

abc: 6.2384 6.2384 6.2384
angles: 60.00 60.00 60.00
Fractional coordinates of all 4 atoms:
Nb (0.5000, 0.5000, 0.5000)
Cs (0.7500, 0.7500, 0.7500)
Cs (0.2500, 0.2500, 0.2500)
Y (0.0000, 0.0000, 0.0000)

---

[14]
Computed, not measured: crystalline CsY3Nb at its relaxed geometry at the GGA-PBE level of DFT.

Values from the calculation:
The space group is Pm-3m, No. 221. The formation energy from the elements comes out at 0.66 eV/atom. Its final energy is -5.399 eV/atom.

abc: 5.7339 5.7339 5.7339
angles: 90.00 90.00 90.00
Fractional coordinates of all 5 atoms:
Nb (0.0000, 0.0000, 0.0000)
Y (0.0000, 0.5000, 0.0000)
Y (0.5000, 0.0000, 0.0000)
Y (0.0000, 0.0000, 0.5000)
Cs (0.5000, 0.5000, 0.5000)

---

[15]
Computed, not measured: crystalline CsNb3Zn at its relaxed geometry at the GGA-PBE level of DFT.

Values from the calculation:
The space group is Pm-3m, No. 221. The formation energy from the elements comes out at 2.63 eV/atom. Its final energy is -3.837 eV/atom.

abc: 5.0155 5.0155 5.0155
angles: 90.00 90.00 90.00
Fractional coordinates of all 5 atoms:
Cs (0.0000, 0.0000, 0.0000)
Zn (0.5000, 0.5000, 0.5000)
Nb (0.5000, 0.0000, 0.0000)
Nb (0.0000, 0.0000, 0.5000)
Nb (0.0000, 0.5000, 0.0000)

---

[16]
Computed, not measured: crystalline Cs3NbZn at its relaxed geometry at the GGA-PBE level of DFT.

Values from the calculation:
The space group is Pm-3m, No. 221. The formation energy from the elements comes out at 1.14 eV/atom. Its final energy is -1.641 eV/atom.

abc: 7.1279 7.1279 7.1279
angles: 90.00 90.00 90.00
Fractional coordinates of all 5 atoms:
Cs (0.0000, 0.5000, 0.0000)
Cs (0.0000, 0.0000, 0.5000)
Cs (0.5000, 0.0000, 0.0000)
Zn (0.5000, 0.5000, 0.5000)
Nb (0.0000, 0.0000, 0.0000)

---

[17]
Computed, not measured: crystalline CsNb3Zn at its relaxed geometry at the GGA-PBE level of DFT.

Values from the calculation:
The space group is Pm-3m, No. 221. The formation energy from the elements comes out at 1.79 eV/atom. Its final energy is -4.677 eV/atom.

abc: 4.9976 4.9976 4.9976
angles: 90.00 90.00 90.00
Fractional coordinates of all 5 atoms:
Nb (0.0000, 0.0000, 0.5000)
Nb (0.0000, 0.5000, 0.0000)
Nb (0.5000, 0.0000, 0.0000)
Cs (0.5000, 0.5000, 0.5000)
Zn (0.0000, 0.0000, 0.0000)

---

[18]
Computed, not measured: crystalline Cs2Nb2Zn at its relaxed geometry at the GGA-PBE level of DFT.

Values from the calculation:
The space group is P4/mbm, No. 127. The formation energy from the elements comes out at 1.34 eV/atom. Its final energy is -3.284 eV/atom.

abc: 11.5966 11.5966 3.5188
angles: 90.00 90.00 90.00
Fractional coordinates of all 10 atoms:
Cs (0.7855, 0.7145, 0.0000)
Cs (0.2855, 0.7855, 0.0000)
Cs (0.7145, 0.2145, 0.0000)
Cs (0.2145, 0.2855, 0.0000)
Nb (0.9349, 0.4349, 0.5000)
Nb (0.5651, 0.9349, 0.5000)
Nb (0.0651, 0.5651, 0.5000)
Nb (0.4349, 0.0651, 0.5000)
Zn (0.5000, 0.5000, 0.0000)
Zn (0.0000, 0.0000, 0.0000)

---

[19]
Computed, not measured: crystalline Cs2Nb2Zn at its relaxed geometry at the GGA-PBE level of DFT.

Values from the calculation:
The space group is I4/mmm, No. 139. The formation energy from the elements comes out at 0.85 eV/atom. Its final energy is -3.770 eV/atom.

abc: 3.7504 3.7504 13.0745
angles: 81.75 81.75 90.00
Fractional coordinates of all 5 atoms:
Nb (0.2500, 0.7500, 0.5000)
Nb (0.7500, 0.2500, 0.5000)
Zn (0.0000, 0.0000, 0.0000)
Cs (0.3923, 0.3923, 0.2154)
Cs (0.6077, 0.6077, 0.7846)

---

[20]
Computed, not measured: crystalline CsNbZn3 at its relaxed geometry at the GGA-PBE level of DFT.

Values from the calculation:
The space group is Pm-3m, No. 221. The formation energy from the elements comes out at 1.82 eV/atom. Its final energy is -1.125 eV/atom.

abc: 6.3248 6.3248 6.3248
angles: 90.00 90.00 90.00
Fractional coordinates of all 5 atoms:
Nb (0.5000, 0.5000, 0.5000)
Zn (0.5000, 0.0000, 0.0000)
Zn (0.0000, 0.0000, 0.5000)
Zn (0.0000, 0.5000, 0.0000)
Cs (0.0000, 0.0000, 0.0000)